1.
## HoTmCoAg (PBE)

Data for a relaxed HoTmCoAg crystal.

Cell lengths 3.337, 3.337, 7.472 Å; angles 90.00, 90.00, 90.00 degrees
Space group P4mm (No. 99)
Asymmetric unit:
Ho 0.000 0.000 0.000 x1
Tm 0.000 0.000 0.563 x1
Co 0.500 0.500 0.779 x1
Ag 0.500 0.500 0.286 x1

Results
ΔE_f: -0.27 eV/atom
M_tot: 0.6 μB per cell
ρ: 9.99 g/cm³
ΔE to the lowest computed polymorph: 0 meV/atom
VASP energy: -5.03 eV per atom

2.
## Co2AgI (PBE)

Data for a relaxed Co2AgI crystal.

Cell lengths 7.056, 7.056, 5.669 Å; angles 90.00, 90.00, 90.00 degrees
Space group I-42d (No. 122)
Asymmetric unit:
Co 0.229 0.250 0.125 x8
Ag 0.000 0.000 0.500 x4
I 0.000 0.000 0.000 x4

Results
M_tot: 9.0 μB per cell
ρ: 8.30 g/cm³
ΔE to the lowest computed polymorph: 131 meV/atom
VASP energy: -3.70 eV per atom
ΔE_f (raw): 367.0 kJ/mol of formula units

3.
## Co2AgI6 (PBE)

Data for a relaxed Co2AgI6 crystal.

Cell lengths 16.080, 4.140, 12.413 Å; angles 90.00, 117.73, 90.00 degrees
Space group C2/m (No. 12)
Asymmetric unit:
Co 0.212 0.000 0.222 x4
Ag 0.000 0.000 0.500 x2
I 0.108 0.500 0.675 x4
I 0.136 0.000 0.355 x4
I 0.156 0.500 0.080 x4

Results
M_tot: 13.6 μB per cell
ρ: 4.48 g/cm³
VASP energy: -2.96 eV per atom
ΔE_f (raw): -25.2 kJ/mol of formula units

Among the records above, which one has the lowest VASP energy? HoTmCoAg

Which value of VASP energy does entry 3 give? -2.96 eV per atom

What is the M_tot in the third record? 13.6 μB per cell

Please write out number 1 again, unchanged.
## HoTmCoAg (PBE)

Data for a relaxed HoTmCoAg crystal.

Cell lengths 3.337, 3.337, 7.472 Å; angles 90.00, 90.00, 90.00 degrees
Space group P4mm (No. 99)
Asymmetric unit:
Ho 0.000 0.000 0.000 x1
Tm 0.000 0.000 0.563 x1
Co 0.500 0.500 0.779 x1
Ag 0.500 0.500 0.286 x1

Results
ΔE_f: -0.27 eV/atom
M_tot: 0.6 μB per cell
ρ: 9.99 g/cm³
ΔE to the lowest computed polymorph: 0 meV/atom
VASP energy: -5.03 eV per atom